Crystalline AlSnS2 at its relaxed geometry. Source: Alexandria, functional PBE-GGA.

Summary:
**Crystal system**: orthorhombic
**Fermi-level density of states**: 3.3 states/eV per cell
**Final energy**: -4.6789 eV/atom

Unit cell a=8.156 b=3.393 c=13.174 alpha=90.00 beta=90.00 gamma=90.00
Sites, in units of the cell vectors:
Al (0.028, 0.250, 0.103)
Al (0.472, 0.750, 0.603)
Al (0.528, 0.250, 0.397)
Al (0.972, 0.750, 0.897)
Sn (0.018, 0.250, 0.615)
Sn (0.482, 0.750, 0.115)
Sn (0.518, 0.250, 0.885)
Sn (0.982, 0.750, 0.385)
S (0.152, 0.750, 0.200)
S (0.166, 0.250, 0.948)
S (0.334, 0.750, 0.448)
S (0.348, 0.250, 0.700)
S (0.652, 0.750, 0.300)
S (0.666, 0.250, 0.552)
S (0.834, 0.750, 0.052)
S (0.848, 0.250, 0.800)